Entry 1:
The following is a PBE calculation of a relaxed ReBIrSe2 crystal, from Alexandria.

Geometry as POSCAR:
```
ReBIrSe2
1.0
4.356 0.000 0.000
0.000 4.060 0.000
0.000 0.000 4.356
Ir Re Se B
1 1 2 1
direct
0.500 0.500 0.500 Ir
0.000 0.500 0.000 Re
0.000 0.000 0.500 Se
0.500 0.000 0.000 Se
0.000 0.000 0.000 B
```

Properties
- Formation energy without anion corrections: 1.173 eV/atom

***

Entry 2:
The following is a PBE calculation of a relaxed PrAuI crystal, from Alexandria.

Geometry as POSCAR:
```
PrAuI
1.0
4.148 0.000 0.000
2.074 6.365 -1.699
2.074 -6.886 9.619
Au Pr I
2 2 2
direct
0.539 0.869 0.054 Au
0.461 0.131 0.946 Au
0.030 0.166 0.774 Pr
0.970 0.834 0.226 Pr
0.955 0.664 0.427 I
0.045 0.336 0.573 I
```

Properties
- Formation energy without anion corrections: -0.761 eV/atom
- Relative energy among the computed polymorphs: 259 meV per atom

***

Entry 3:
The following is a PBE calculation of a relaxed CdP2SeCl crystal, from Alexandria.

Geometry as POSCAR:
```
CdP2SeCl
1.0
-4.357 -0.502 2.141
2.176 -1.668 4.038
0.326 4.693 1.763
P Se Cd Cl
2 1 1 1
direct
0.000 0.500 0.000 P
0.500 0.000 0.000 P
0.000 0.000 0.000 Se
0.500 0.500 0.500 Cd
0.000 0.000 0.500 Cl
```

Properties
- Formation energy without anion corrections: 0.737 eV/atom
- Relative energy among the computed polymorphs: 0 meV per atom

***

Entry 4:
The following is a PBE calculation of a relaxed SmEu2H crystal, from Alexandria.

Geometry as POSCAR:
```
SmEu2H
1.0
3.442 0.000 0.000
0.000 3.442 0.000
0.000 0.000 9.218
H Sm Eu
1 1 2
direct
0.500 0.500 0.000 H
0.500 0.500 0.500 Sm
0.000 0.000 0.818 Eu
0.000 0.000 0.182 Eu
```

Properties
- Relative energy among the computed polymorphs: 194 meV per atom

***

Entry 5:
The following is a PBE calculation of a relaxed AsIrAuClO crystal, from Alexandria.

Geometry as POSCAR:
```
AsIrAuClO
1.0
-5.764 -0.357 1.519
0.844 -1.873 2.762
0.957 7.736 4.954
Cl O As Ir Au
2 2 2 2 2
direct
0.072 0.000 0.734 Cl
0.072 0.500 0.234 Cl
0.320 0.500 0.501 O
0.320 0.000 0.001 O
0.542 0.500 0.637 As
0.542 0.000 0.137 As
0.457 0.500 0.307 Ir
0.457 0.000 0.807 Ir
0.842 0.000 0.955 Au
0.842 0.500 0.455 Au
```

Properties
- Formation energy without anion corrections: -0.284 eV/atom
- Relative energy among the computed polymorphs: 13 meV per atom

***

Entry 6:
The following is a PBE calculation of a relaxed LaYMgIr crystal, from Alexandria.

Geometry as POSCAR:
```
LaYMgIr
1.0
5.162 0.000 0.000
2.581 4.471 0.000
2.581 1.490 4.215
La Mg Ir Y
1 1 1 1
direct
0.500 0.500 0.500 La
0.250 0.250 0.250 Mg
0.750 0.750 0.750 Ir
0.000 0.000 0.000 Y
```

Properties
- DFT formation energy: -0.3586 eV/atom

***

Entry 7:
The following is a PBE calculation of a relaxed NbPdCl crystal, from Alexandria.

Geometry as POSCAR:
```
NbPdCl
1.0
-1.148 -2.509 -1.380
3.039 0.531 -0.045
1.316 -6.600 10.905
Pd Nb Cl
2 2 2
direct
0.333 0.666 0.500 Pd
0.334 0.668 0.000 Pd
0.666 0.333 0.329 Nb
0.666 0.333 0.671 Nb
0.333 0.666 0.810 Cl
0.333 0.666 0.190 Cl
```

Properties
- Formation energy without anion corrections: -0.312 eV/atom

***

Entry 8:
The following is a PBE calculation of a relaxed ErGa4Ni4 crystal, from Alexandria.

Geometry as POSCAR:
```
ErGa4Ni4
1.0
4.399 0.000 0.000
0.000 7.851 0.000
0.000 0.000 7.851
Ga Ni Er
8 8 2
direct
0.992 0.362 0.094 Ga
0.992 0.638 0.906 Ga
0.508 0.138 0.406 Ga
0.492 0.594 0.138 Ga
0.008 0.906 0.362 Ga
0.008 0.094 0.638 Ga
0.508 0.862 0.594 Ga
0.492 0.406 0.862 Ga
0.508 0.885 0.223 Ni
0.992 0.615 0.277 Ni
0.992 0.385 0.723 Ni
0.008 0.723 0.615 Ni
0.492 0.777 0.885 Ni
0.508 0.115 0.777 Ni
0.008 0.277 0.385 Ni
0.492 0.223 0.115 Ni
0.000 0.000 0.000 Er
0.500 0.500 0.500 Er
```

Properties
- DFT formation energy: -0.2848 eV/atom

***

Entry 9:
The following is a PBE calculation of a relaxed Pb4S2I3 crystal, from Alexandria.

Geometry as POSCAR:
```
Pb4S2I3
1.0
-5.591 -0.958 3.196
4.481 -8.254 3.893
5.031 3.120 8.265
Pb I S
8 6 4
direct
0.051 0.321 0.939 Pb
0.534 0.417 0.199 Pb
0.449 0.061 0.679 Pb
0.949 0.679 0.061 Pb
0.551 0.939 0.321 Pb
0.034 0.199 0.417 Pb
0.966 0.801 0.583 Pb
0.466 0.583 0.801 Pb
0.938 0.002 0.781 I
0.250 0.388 0.612 I
0.062 0.998 0.219 I
0.438 0.781 0.002 I
0.750 0.612 0.388 I
0.562 0.219 0.998 I
0.911 0.589 0.822 S
0.089 0.411 0.178 S
0.589 0.178 0.411 S
0.411 0.822 0.589 S
```

Properties
- Formation energy without anion corrections: -0.449 eV/atom

***

Entry 10:
The following is a PBE calculation of a relaxed TcSb2Pd2 crystal, from Alexandria.

Geometry as POSCAR:
```
TcSb2Pd2
1.0
-1.606 6.366 2.951
-6.955 -1.843 0.192
0.467 -1.417 3.311
Pd Tc Sb
4 2 4
direct
0.860 0.360 0.500 Pd
0.360 0.140 0.500 Pd
0.140 0.640 0.500 Pd
0.640 0.860 0.500 Pd
0.500 0.500 0.000 Tc
0.000 0.000 0.000 Tc
0.839 0.661 0.000 Sb
0.161 0.339 0.000 Sb
0.661 0.161 0.000 Sb
0.339 0.839 0.000 Sb
```

Properties
- Formation energy without anion corrections: 0.034 eV/atom

***

Entry 11:
The following is a PBE calculation of a relaxed TaMnFe crystal, from Alexandria.

Geometry as POSCAR:
```
TaMnFe
1.0
-3.892 1.371 2.611
-4.631 -1.424 -0.611
4.591 -1.627 0.358
Fe Ta Mn
1 1 1
direct
0.997 0.997 0.000 Fe
0.666 0.666 0.000 Ta
0.337 0.337 0.000 Mn
```

Properties
- DFT formation energy: -0.0140 eV/atom
- Relative energy among the computed polymorphs: 183 meV per atom

***

Entry 12:
The following is a PBE calculation of a relaxed Pu4PaRh3 crystal, from Alexandria.

Geometry as POSCAR:
```
Pu4PaRh3
1.0
3.644 -0.169 0.959
-0.060 3.661 0.874
2.084 -1.308 13.737
Pu Rh Pa
4 3 1
direct
0.163 0.721 0.559 Pu
0.846 0.614 0.771 Pu
0.837 0.279 0.441 Pu
0.154 0.386 0.229 Pu
0.483 0.160 0.680 Rh
0.500 0.500 0.000 Rh
0.517 0.840 0.320 Rh
0.000 0.000 0.000 Pa
```

Properties
- DFT formation energy: -0.2326 eV/atom

***

Entry 13:
The following is a PBE calculation of a relaxed Er2Ga6Ru crystal, from Alexandria.

Geometry as POSCAR:
```
Er2Ga6Ru
1.0
5.795 -0.035 -0.020
0.026 5.739 0.008
0.026 2.866 4.972
Er Ru Ga
2 1 6
direct
0.144 0.333 0.333 Er
0.856 0.667 0.667 Er
0.000 0.000 0.000 Ru
0.321 0.825 0.350 Ga
0.321 0.350 0.825 Ga
0.320 0.825 0.825 Ga
0.679 0.650 0.175 Ga
0.679 0.175 0.650 Ga
0.680 0.175 0.175 Ga
```

Properties
- DFT formation energy: -0.4991 eV/atom

***

Entry 14:
The following is a PBE calculation of a relaxed AcTcAgO6 crystal, from Alexandria.

Geometry as POSCAR:
```
AcTcAgO6
1.0
5.449 0.108 -0.036
2.810 5.036 -0.173
-0.031 -0.182 5.032
Ac Tc O Ag
1 1 6 1
direct
0.050 0.999 0.031 Ac
0.353 0.333 0.496 Tc
0.311 0.046 0.678 O
0.641 0.276 0.714 O
0.060 0.603 0.730 O
0.002 0.388 0.295 O
0.370 0.595 0.306 O
0.543 0.070 0.230 O
0.670 0.690 0.519 Ag
```

Properties
- Formation energy without anion corrections: -1.534 eV/atom

***

Entry 15:
The following is a PBE calculation of a relaxed NaLiGa2Au2 crystal, from Alexandria.

Geometry as POSCAR:
```
NaLiGa2Au2
1.0
4.574 0.000 0.000
-2.287 3.961 0.000
0.000 0.000 6.136
Ga Li Na Au
2 1 1 2
direct
0.667 0.333 0.281 Ga
0.333 0.667 0.719 Ga
0.000 0.000 0.500 Li
0.000 0.000 0.000 Na
0.667 0.333 0.723 Au
0.333 0.667 0.277 Au
```

Properties
- DFT formation energy: -0.4002 eV/atom

***

Entry 16:
The following is a PBE calculation of a relaxed Sn2SbTe crystal, from Alexandria.

Geometry as POSCAR:
```
Sn2SbTe
1.0
-0.397 1.138 -4.123
-3.903 0.486 -1.728
-1.415 8.271 0.181
Te Sn Sb
1 2 1
direct
0.490 0.490 0.530 Te
0.083 0.083 0.750 Sn
0.263 0.263 0.211 Sn
0.664 0.664 0.009 Sb
```

Properties
- Formation energy without anion corrections: -0.070 eV/atom
- Relative energy among the computed polymorphs: 42 meV per atom

***

Entry 17:
The following is a PBE calculation of a relaxed NpTiZn17 crystal, from Alexandria.

Geometry as POSCAR:
```
NpTiZn17
1.0
6.682 0.052 0.847
0.753 6.640 0.847
0.058 0.052 6.735
Zn Np Ti
17 1 1
direct
0.105 0.105 0.105 Zn
0.512 0.988 0.988 Zn
0.635 0.635 0.184 Zn
0.298 0.696 0.005 Zn
0.988 0.988 0.512 Zn
0.005 0.298 0.696 Zn
0.635 0.184 0.635 Zn
0.696 0.005 0.298 Zn
0.350 0.350 0.862 Zn
0.906 0.906 0.906 Zn
0.005 0.696 0.298 Zn
0.696 0.298 0.005 Zn
0.350 0.862 0.350 Zn
0.862 0.350 0.350 Zn
0.988 0.512 0.988 Zn
0.298 0.005 0.696 Zn
0.184 0.635 0.635 Zn
0.666 0.666 0.666 Np
0.320 0.320 0.320 Ti
```

Properties
- DFT formation energy: -0.0325 eV/atom

***

Entry 18:
The following is a PBE calculation of a relaxed Cs4Ac3SmO8 crystal, from Alexandria.

Geometry as POSCAR:
```
Cs4Ac3SmO8
1.0
-3.338 -6.912 0.632
6.940 -3.045 3.354
-3.203 6.145 3.360
Ac O Cs Sm
3 8 4 1
direct
0.500 0.500 0.000 Ac
0.000 0.500 0.500 Ac
0.500 0.500 0.500 Ac
0.725 0.675 0.450 O
0.275 0.325 0.550 O
0.737 0.671 0.954 O
0.783 0.329 0.565 O
0.217 0.671 0.954 O
0.783 0.329 0.046 O
0.217 0.671 0.435 O
0.263 0.329 0.046 O
0.500 0.000 0.000 Cs
0.000 0.000 0.500 Cs
0.500 0.000 0.500 Cs
0.000 0.000 0.000 Cs
0.000 0.500 0.000 Sm
```

Properties
- Formation energy without anion corrections: -2.502 eV/atom

***

Number 1: uncorrected energy -0.214 hartree per atom, D(E_F) 3.2 states/eV/cell. Number 2: uncorrected energy -0.146 hartree per atom, D(E_F) 2.8 states/eV/cell. Number 3: uncorrected energy -0.098 hartree per atom, D(E_F) 4.8 states/eV/cell. Number 4: uncorrected energy -0.261 hartree per atom, D(E_F) 3.7 states/eV/cell. Number 5: uncorrected energy -0.184 hartree per atom, D(E_F) 0.0 states/eV/cell. Number 6: uncorrected energy -0.214 hartree per atom, D(E_F) 2.9 states/eV/cell. Number 7: uncorrected energy -0.221 hartree per atom, D(E_F) 5.0 states/eV/cell. Number 8: uncorrected energy -0.173 hartree per atom, D(E_F) 10.2 states/eV/cell. Number 9: uncorrected energy -0.130 hartree per atom, D(E_F) 6.7 states/eV/cell. Number 10: uncorrected energy -0.212 hartree per atom, D(E_F) 5.4 states/eV/cell. Number 11: uncorrected energy -0.362 hartree per atom, D(E_F) 3.5 states/eV/cell. Number 12: uncorrected energy -0.417 hartree per atom, D(E_F) 29.3 states/eV/cell. Number 13: uncorrected energy -0.168 hartree per atom, D(E_F) 3.9 states/eV/cell. Number 14: uncorrected energy -0.249 hartree per atom, D(E_F) 3.1 states/eV/cell. Number 15: uncorrected energy -0.112 hartree per atom, D(E_F) 0.9 states/eV/cell. Number 16: uncorrected energy -0.143 hartree per atom, D(E_F) 2.2 states/eV/cell. Number 17: uncorrected energy -0.083 hartree per atom, D(E_F) 13.4 states/eV/cell. Number 18: uncorrected energy -0.230 hartree per atom, D(E_F) 0.0 states/eV/cell.